## Hf2Co2Au (meta-GGA SCAN)

Data for a PBEsol-optimized structure of Hf2Co2Au.

Geometry as POSCAR:
```
Hf2Co2Au
1.0
3.2218 0.0000 0.0000
0.0000 6.8758 0.0000
0.0000 0.0000 6.8758
Hf Co Au
4 4 2
Direct
0.5000 0.8324 0.3324
0.5000 0.1676 0.6676
0.5000 0.6676 0.8324
0.5000 0.3324 0.1676
0.0000 0.3696 0.8696
0.0000 0.8696 0.6304
0.0000 0.6304 0.1304
0.0000 0.1304 0.3696
0.0000 0.5000 0.5000
0.0000 0.0000 0.0000
```

Computed properties:
total moment: 0.0 μB per formula unit
crystal system: tetragonal
electronic total energy: -462.7 eV/cell
symmetry: P4/mbm, No. 127

## NaIn2CBr (meta-GGA SCAN)

Data for a PBEsol-optimized structure of NaIn2CBr.

Geometry as POSCAR:
```
NaIn2CBr
1.0
-2.5230 -3.3640 -1.1182
1.9651 0.3177 -5.3897
4.2486 -3.6303 1.3351
C In Na Br
1 2 1 1
Direct
0.5000 0.0000 0.0000
0.0000 0.5000 0.0000
0.0000 0.0000 0.5000
0.0000 0.0000 0.0000
0.5000 0.5000 0.5000
```

Computed properties:
ΔE_f (raw): 1068 meV/atom
total moment: 2.0 μB per formula unit
crystal system: tetragonal
electronic total energy: -95.2 eV/cell
symmetry: P4/mmm, No. 123

## MgAl3Sb (meta-GGA SCAN)

Data for a PBEsol-optimized structure of MgAl3Sb.

Geometry as POSCAR:
```
MgAl3Sb
1.0
-0.1184 -3.0170 -4.3542
-0.3631 -4.3404 3.0173
-5.2848 0.3658 -0.1098
Al Sb Mg
3 1 1
Direct
0.0000 0.0000 0.5000
0.5000 0.0000 0.0000
0.0000 0.5000 0.0000
0.0000 0.0000 0.0000
0.5000 0.5000 0.5000
```

Computed properties:
ΔE_f (raw): 885 meV/atom
total moment: 0.0 μB per formula unit
crystal system: cubic
electronic total energy: -61.1 eV/cell
symmetry: Pm-3m, No. 221

## ScSbRh2 (meta-GGA SCAN)

Data for a PBEsol-optimized structure of ScSbRh2.

Geometry as POSCAR:
```
ScSbRh2
1.0
3.4216 0.0000 0.0000
0.0000 4.3410 -0.0265
-1.7108 -1.2590 4.4910
Rh Sc Sb
2 1 1
Direct
0.0074 0.0616 0.0148
0.2399 0.6862 0.4798
0.7453 0.1949 0.4905
0.5074 0.5572 0.0148
```

Computed properties:
ΔE_f (raw): -834 meV/atom
total moment: 0.0 μB per formula unit
crystal system: monoclinic
electronic total energy: -122.4 eV/cell
symmetry: Cm, No. 8

## LaYW2 (meta-GGA SCAN)

Data for a PBEsol-optimized structure of LaYW2.

Geometry as POSCAR:
```
LaYW2
1.0
2.8783 0.0000 0.0000
0.0000 4.9313 0.0000
0.0000 0.0000 6.2173
W La Y
2 1 1
Direct
0.0000 0.0000 0.7978
0.0000 0.0000 0.2022
0.5000 0.5000 0.5000
0.5000 0.5000 0.0000
```

Computed properties:
polymorph energy (0 for the lowest one): 247.1 meV per atom
total moment: 0.0 μB per formula unit
crystal system: orthorhombic
electronic total energy: -207.0 eV/cell
symmetry: Pmmm, No. 47

## ZnMoRh2 (meta-GGA SCAN)

Data for a PBEsol-optimized structure of ZnMoRh2.

Geometry as POSCAR:
```
ZnMoRh2
1.0
-0.5618 1.5366 -2.2200
1.9959 -2.2295 -2.0482
-4.4620 -3.0759 -0.9998
Mo Zn Rh
1 1 2
Direct
0.5000 0.5000 0.5000
0.5000 0.5000 0.0000
0.0000 0.0000 0.7516
0.0000 0.0000 0.2484
```

Computed properties:
total moment: 0.0 μB per formula unit
crystal system: orthorhombic
electronic total energy: -117.0 eV/cell
symmetry: Pmmm, No. 47